No. 1
## CoMoBr2 (GGA-PBE)

Data for a relaxed CoMoBr2 crystal.

Calculated values
raw formation energy = 0.96 eV/atom
density of states at the Fermi level = 1.631 states/eV/atom
distance to the lowest polymorph of the same formula = 888 meV/atom

abc: 3.1296 4.2354 5.8376
angles: 90.00 90.00 90.00
Fractional coordinates of all 4 atoms:
Co: 0.0000 0.0000 0.0000
Mo: 0.5000 0.0000 0.5000
Br: 0.0000 0.5000 0.5000
Br: 0.5000 0.5000 0.0000

No. 2
## CoMoBr2 (GGA-PBE)

Data for a relaxed CoMoBr2 crystal.

Calculated values
raw formation energy = 0.26 eV/atom
density of states at the Fermi level = 0.704 states/eV/atom
distance to the lowest polymorph of the same formula = 189 meV/atom

abc: 3.1898 3.1898 8.1129
angles: 90.00 90.00 90.00
Fractional coordinates of all 4 atoms:
Co: 0.0000 0.0000 0.0000
Mo: 0.5000 0.5000 0.1559
Br: 0.0000 0.0000 0.3802
Br: 0.5000 0.5000 0.8332

No. 3
## Co2MoBr (GGA-PBE)

Data for a relaxed Co2MoBr crystal.

Calculated values
raw formation energy = 0.83 eV/atom
density of states at the Fermi level = 1.168 states/eV/atom
distance to the lowest polymorph of the same formula = 367 meV/atom

abc: 4.2706 4.2706 4.2706
angles: 60.00 60.00 60.00
Fractional coordinates of all 4 atoms:
Co: 0.0000 0.0000 0.0000
Co: 0.2500 0.2500 0.2500
Mo: 0.5000 0.5000 0.5000
Br: 0.7500 0.7500 0.7500

Please write out number 3 again, unchanged.
## Co2MoBr (GGA-PBE)

Data for a relaxed Co2MoBr crystal.

Calculated values
raw formation energy = 0.83 eV/atom
density of states at the Fermi level = 1.168 states/eV/atom
distance to the lowest polymorph of the same formula = 367 meV/atom

abc: 4.2706 4.2706 4.2706
angles: 60.00 60.00 60.00
Fractional coordinates of all 4 atoms:
Co: 0.0000 0.0000 0.0000
Co: 0.2500 0.2500 0.2500
Mo: 0.5000 0.5000 0.5000
Br: 0.7500 0.7500 0.7500